Entry 1:
DFT (PBE) results for Ac2Pm3Sm4 after structural relaxation.

Energy of formation in eV per atom: 0.160
Distance to the lowest polymorph of the same formula in eV per formula unit: 0.72

The structure in POSCAR format:
```
Ac2Pm3Sm4
1.0
8.8702 0.0000 0.0000
0.0000 8.8714 0.0000
-3.3774 0.0000 8.4378
Ac Pm Sm
4 6 8
Direct
0.1751 0.1518 0.0494 Ac
0.1751 0.3482 0.5494 Ac
0.8249 0.6518 0.4506 Ac
0.8249 0.8482 0.9506 Ac
0.2487 0.6750 0.2521 Pm
0.2487 0.8250 0.7521 Pm
0.5000 0.0000 0.5000 Pm
0.5000 0.5000 0.0000 Pm
0.7513 0.1750 0.2479 Pm
0.7513 0.3250 0.7479 Pm
0.0837 0.5364 0.8689 Sm
0.0837 0.9636 0.3689 Sm
0.4813 0.1363 0.8553 Sm
0.4813 0.3637 0.3553 Sm
0.5187 0.6363 0.6447 Sm
0.5187 0.8637 0.1447 Sm
0.9163 0.0364 0.6311 Sm
0.9163 0.4636 0.1311 Sm
```



Entry 2:
DFT (PBE) results for MnNiBr2 after structural relaxation.

Formation energy from raw total energies in eV/f.u.: -0.74
Distance to the lowest polymorph of the same formula in eV per formula unit: 0.10

The structure in POSCAR format:
```
MnNiBr2
1.0
7.1207 -1.7917 0.0000
7.1207 1.7917 0.0000
-0.2797 0.0000 4.0101
Mn Ni Br
1 1 2
Direct
0.0000 0.0000 0.0000 Mn
0.5000 0.5000 0.5000 Ni
0.3678 0.3678 0.7893 Br
0.6322 0.6322 0.2107 Br
```



Entry 3:
DFT (PBE) results for GdGa2Pb after structural relaxation.

Energy of formation in eV per atom: -0.223
Distance to the lowest polymorph of the same formula in eV per formula unit: 0.70

The structure in POSCAR format:
```
GdGa2Pb
1.0
0.0000 3.6598 3.6598
3.6598 0.0000 3.6598
3.6598 3.6598 0.0000
Gd Ga Pb
1 2 1
Direct
0.0000 0.0000 0.0000 Gd
0.2500 0.2500 0.2500 Ga
0.7500 0.7500 0.7500 Ga
0.5000 0.5000 0.5000 Pb
```



Entry 4:
DFT (PBE) results for PmNiGePt after structural relaxation.

Energy of formation in eV per atom: -0.621
Distance to the lowest polymorph of the same formula in eV per formula unit: 0.00

The structure in POSCAR format:
```
PmNiGePt
1.0
-2.0603 2.1038 4.7480
2.0603 -2.1038 4.7480
2.0603 2.1038 -4.7480
Pm Ni Ge Pt
1 1 1 1
Direct
0.0000 0.0000 0.0000 Pm
0.6365 0.6365 0.0000 Ni
0.7435 0.2435 0.5000 Ge
0.3739 0.3739 0.0000 Pt
```



Entry 5:
DFT (PBE) results for KScSb2 after structural relaxation.

Formation energy from raw total energies in eV/f.u.: -2.07
Distance to the lowest polymorph of the same formula in eV per formula unit: 0.23

The structure in POSCAR format:
```
KScSb2
1.0
9.3883 -1.6274 0.0000
9.3883 1.6274 0.0000
-0.9549 0.0000 4.1418
K Sc Sb
1 1 2
Direct
0.0000 0.0000 0.0000 K
0.7361 0.7361 0.2336 Sc
0.1574 0.1574 0.6557 Sb
0.3705 0.3705 0.3721 Sb
```



Entry 6:
DFT (PBE) results for CaTeN2O after structural relaxation.

Formation energy from raw total energies in eV/f.u.: 5.93

The structure in POSCAR format:
```
CaTeN2O
1.0
4.3000 0.0000 0.0000
0.0000 4.3000 0.0000
0.0000 0.0000 4.1810
Ca Te N O
1 1 2 1
Direct
0.0000 0.0000 0.0000 Ca
0.5000 0.5000 0.0000 Te
0.0000 0.5000 0.5000 N
0.5000 0.0000 0.5000 N
0.5000 0.5000 0.5000 O
```



Entry 7:
DFT (PBE) results for Pm3TlSb2 after structural relaxation.

Formation energy from raw total energies in eV/f.u.: -4.98

The structure in POSCAR format:
```
Pm3TlSb2
1.0
7.2372 -3.1709 0.0000
7.2372 3.1709 0.0000
-2.7015 0.0000 8.4240
Pm Tl Sb
6 2 4
Direct
0.0008 0.9992 0.7500 Pm
0.3231 0.3232 0.4116 Pm
0.3232 0.3231 0.9116 Pm
0.6768 0.6769 0.0884 Pm
0.6769 0.6768 0.5884 Pm
0.9992 0.0008 0.2500 Pm
0.4991 0.5009 0.2500 Tl
0.5009 0.4991 0.7500 Tl
0.1641 0.1642 0.0821 Sb
0.1642 0.1641 0.5821 Sb
0.8358 0.8359 0.4179 Sb
0.8359 0.8358 0.9179 Sb
```



Entry 8:
DFT (PBE) results for TlRuI2 after structural relaxation.

Formation energy from raw total energies in eV/f.u.: 2.32
Distance to the lowest polymorph of the same formula in eV per formula unit: 1.83

The structure in POSCAR format:
```
TlRuI2
1.0
0.0000 3.9005 3.9005
3.9005 0.0000 3.9005
3.9005 3.9005 0.0000
Tl Ru I
1 1 2
Direct
0.0000 0.0000 0.0000 Tl
0.5000 0.5000 0.5000 Ru
0.2500 0.2500 0.2500 I
0.7500 0.7500 0.7500 I
```



DOS(E_F) readings, ordered: 27.64 1.19 2.47 2.32 1.35 3.83 7.77 0.00 states/eV/cell
Total energy readings, ordered: -4.43 -4.76 -6.18 -5.92 -4.44 -4.16 -4.97 -3.11 eV/atom